KAg2P: optimized geometry, PBE.

The structure in extended XYZ format:
```
4
Lattice="-2.3571 2.3571 3.8386 2.3571 -2.3571 3.8386 2.3571 2.3571 -3.8386" Properties=species:S:1:pos:R:3 pbc="T T T"
K 0.0000 0.0000 0.0000
Ag 0.0000 0.0000 3.8386
Ag 0.0000 2.3571 1.9193
P 2.3571 0.0000 1.9193
```

Calculated values
Magnetization in μB/f.u.: 0.00
Energy relative to the elements in eV per atom: 0.31